[1]
# VTcGe3 | Alexandria | PBE | relaxed
# raw total energy	-6.571	eV per atom
# E above lowest polymorph	0.0	meV/atom
# DFT formation energy	0.10	eV/atom
data_VTcGe3
_cell_length_a 12.531
_cell_length_b 5.157
_cell_length_c 10.588
_cell_angle_alpha 90.00
_cell_angle_beta 106.20
_cell_angle_gamma 90.00
_symmetry_space_group_name_H-M 'C 1 2/c 1'
_symmetry_Int_Tables_number 15
_symmetry_space_group_name_Hall '-C 2yc'
loop_
_atom_site_label
_atom_site_fract_x
_atom_site_fract_y
_atom_site_fract_z
_atom_site_occupancy
V1 0.164 0.202 0.037 1
Tc1 0.000 0.128 0.750 1
Tc2 0.250 0.250 0.500 1
Ge1 0.053 0.266 0.536 1
Ge2 0.130 0.493 0.814 1
Ge3 0.199 0.004 0.288 1

=====

[2]
# V12TcGe6 | Alexandria | PBE | relaxed
# raw total energy	-7.904	eV per atom
# DFT formation energy	-0.14	eV/atom
data_V12TcGe6
_cell_length_a 11.8022
_cell_length_b 11.8022
_cell_length_c 6.5924
_cell_angle_alpha 90.00
_cell_angle_beta 90.00
_cell_angle_gamma 120.00
_symmetry_space_group_name_H-M 'R -3'
_symmetry_Int_Tables_number 148
_symmetry_space_group_name_Hall '-R 3'
loop_
_atom_site_label
_atom_site_fract_x
_atom_site_fract_y
_atom_site_fract_z
_atom_site_occupancy
V1 0.0075 0.8699 0.1676 1
V2 0.0592 0.4902 0.1770 1
Tc1 0.0000 0.0000 0.5000 1
Ge1 0.0219 0.7590 0.8313 1

=====

[3]
# V2Tc4Ge | Alexandria | PBE | relaxed
# raw total energy	-8.183	eV per atom
# DFT formation energy	1.01	eV/atom
data_V2Tc4Ge
_cell_length_a 4.487
_cell_length_b 4.487
_cell_length_c 12.179
_cell_angle_alpha 90.00
_cell_angle_beta 90.00
_cell_angle_gamma 90.00
_symmetry_space_group_name_H-M 'I 4/m m m'
_symmetry_Int_Tables_number 139
_symmetry_space_group_name_Hall '-I 4 2'
loop_
_atom_site_label
_atom_site_fract_x
_atom_site_fract_y
_atom_site_fract_z
_atom_site_occupancy
V1 0.000 0.000 0.123 1
Tc1 0.000 0.000 0.301 1
Tc2 0.000 0.500 0.000 1
Ge1 0.000 0.000 0.500 1

=====

[4]
# V3Tc4Ge | Alexandria | PBE | relaxed
# raw total energy	-9.496	eV per atom
# DFT formation energy	-0.32	eV/atom
data_V3Tc4Ge
_cell_length_a 3.049
_cell_length_b 4.254
_cell_length_c 8.599
_cell_angle_alpha 90.00
_cell_angle_beta 90.00
_cell_angle_gamma 90.00
_symmetry_space_group_name_H-M 'P m m m'
_symmetry_Int_Tables_number 47
_symmetry_space_group_name_Hall '-P 2 2'
loop_
_atom_site_label
_atom_site_fract_x
_atom_site_fract_y
_atom_site_fract_z
_atom_site_occupancy
V1 0.000 0.000 0.000 1
V2 0.000 0.500 0.250 1
Tc1 0.500 0.000 0.245 1
Tc2 0.500 0.500 0.000 1
Tc3 0.500 0.500 0.500 1
Ge1 0.000 0.000 0.500 1

=====

[5]
# V2TcGe | Alexandria | PBE | relaxed
# raw total energy	-8.508	eV per atom
# DFT formation energy	-0.20	eV/atom
data_V2TcGe
_cell_length_a 3.200
_cell_length_b 3.200
_cell_length_c 5.446
_cell_angle_alpha 90.00
_cell_angle_beta 90.00
_cell_angle_gamma 90.00
_symmetry_space_group_name_H-M 'P 4/m m m'
_symmetry_Int_Tables_number 123
_symmetry_space_group_name_Hall '-P 4 2'
loop_
_atom_site_label
_atom_site_fract_x
_atom_site_fract_y
_atom_site_fract_z
_atom_site_occupancy
V1 0.000 0.000 0.241 1
Tc1 0.500 0.500 0.500 1
Ge1 0.500 0.500 0.000 1

=====

[6]
# V6TcGe3 | Alexandria | PBE | relaxed
# raw total energy	-7.980	eV per atom
# DFT formation energy	-0.09	eV/atom
data_V6TcGe3
_cell_length_a 9.607
_cell_length_b 9.848
_cell_length_c 6.263
_cell_angle_alpha 90.00
_cell_angle_beta 90.00
_cell_angle_gamma 90.00
_symmetry_space_group_name_H-M 'C m c 21'
_symmetry_Int_Tables_number 36
_symmetry_space_group_name_Hall 'C 2c -2'
loop_
_atom_site_label
_atom_site_fract_x
_atom_site_fract_y
_atom_site_fract_z
_atom_site_occupancy
V1 0.000 0.117 0.000 1
V2 0.000 0.223 0.514 1
V3 0.154 0.430 0.473 1
V4 0.248 0.300 0.805 1
Tc1 0.000 0.323 0.159 1
Ge1 0.000 0.402 0.789 1
Ge2 0.172 0.064 0.671 1

=====

Question: Which value of raw total energy does entry 4 give?
Answer: -9.496 eV per atom